Record 1
DFT (PBE) results for a geometry-optimized Ba2AcDy structure.

a b c (Å): 3.8843 3.8843 14.2595
angles (deg): 82.17 82.17 60.00
Positions (direct):
Ac1 0.5000 0.5000 0.5000
Dy1 0.0000 0.0000 0.0000
Ba1 0.9158 0.9158 0.2527
Ba2 0.0842 0.0842 0.7473

Calculated values
Space-group type ... R-3m (166)
Energy of formation from the pure elements ... 0.34 eV per atom
Crystal system ... trigonal



Record 2
DFT (PBE) results for a geometry-optimized Mn2AlFe structure.

a b c (Å): 2.6010 3.5910 5.1839
angles (deg): 90.00 90.00 90.00
Positions (direct):
Al1 0.0000 0.0000 0.5072
Fe1 0.5000 0.5000 0.7482
Mn1 0.0000 0.0000 0.0050
Mn2 0.5000 0.5000 0.2397

Calculated values
Space-group type ... Pmm2 (25)
Energy of formation from the pure elements ... -0.11 eV per atom
Crystal system ... orthorhombic



Record 3
DFT (PBE) results for a geometry-optimized EuAg2Au structure.

a b c (Å): 4.9325 4.2768 4.2768
angles (deg): 90.00 90.00 90.00
Positions (direct):
Ag1 0.0000 0.0000 0.5000
Au1 0.5000 0.0000 0.0000
Eu1 0.5000 0.5000 0.5000
Ag2 0.0000 0.5000 0.0000

Calculated values
Space-group type ... P4/mmm (123)
Energy relative to the lowest polymorph listed for this composition ... 23 meV per atom
Energy of formation from the pure elements ... -0.23 eV per atom
Crystal system ... tetragonal



Record 4
DFT (PBE) results for a geometry-optimized PuCoSiC structure.

a b c (Å): 3.6787 3.6787 8.3233
angles (deg): 90.00 90.00 90.00
Positions (direct):
Pu1 0.0000 0.5000 0.8451
Co1 0.5000 0.5000 0.5000
C1 0.5000 0.0000 0.8763
Co2 0.0000 0.0000 0.5000
Pu2 0.5000 0.0000 0.1549
Si1 0.5000 0.0000 0.6537
C2 0.0000 0.5000 0.1237
Si2 0.0000 0.5000 0.3463

Calculated values
Space-group type ... P4/nmm (129)
Energy relative to the elements, uncorrected ... -369 meV/atom
Crystal system ... tetragonal



no.,calculated density (g/cm³),E (eV per atom)
1,6.0,-2.797
2,6.6,-7.743
3,10.4,-5.047
4,10.1,-9.390